# 1
Ce2SmHoS5 | GGA-PBE | optimized geometry

Output
- Fermi-level density of states (states/eV/atom) = 2.04
- formation energy without anion corrections (eV/atom) = -1.50

a b c (Å): 4.886 4.886 10.442
angles (deg): 90.00 90.00 90.00
Space group P4/mmm (No. 123)
Unique sites:
Ce1 0.000 0.000 0.196
Sm1 0.500 0.500 0.500
Ho1 0.500 0.500 0.000
S1 0.000 0.000 0.500
S2 0.000 0.500 0.000
S3 0.500 0.500 0.252

# 2
Rb2In3Au5 | GGA-PBE | optimized geometry

Output
- Fermi-level density of states (states/eV/atom) = 0.34
- E (eV/cell) = -116.5

a b c (Å): 11.448 13.765 6.883
angles (deg): 90.00 90.00 90.00
Space group Ibam (No. 72)
Unique sites:
Rb1 0.233 0.131 0.000
In1 0.000 0.500 0.250
In2 0.101 0.139 0.500
Au1 0.000 0.000 0.250
Au2 0.000 0.281 0.250
Au3 0.157 0.391 0.000

# 3
ZrNb2B2 | GGA-PBE | optimized geometry

Output
- Fermi-level density of states (states/eV/atom) = 0.63
- E (eV/cell) = -89.3

a b c (Å): 6.359 6.359 3.347
angles (deg): 90.00 90.00 90.00
Space group P4/mbm (No. 127)
Unique sites:
Zr1 0.000 0.000 0.000
Nb1 0.175 0.325 0.500
B1 0.101 0.601 0.000

# 4
NaYTe2N | GGA-PBE | optimized geometry

Output
- Fermi-level density of states (states/eV/atom) = 1.08
- formation energy without anion corrections (eV/atom) = -0.12

a b c (Å): 6.228 6.228 4.096
angles (deg): 90.00 90.00 90.00
Space group P4/mmm (No. 123)
Unique sites:
Na1 0.000 0.000 0.000
Y1 0.500 0.500 0.500
Te1 0.000 0.500 0.500
N1 0.500 0.500 0.000

# 5
Sc3Pb5 | GGA-PBE | optimized geometry

Output
- Fermi-level density of states (states/eV/atom) = 0.56
- E (eV/cell) = -78.6

a b c (Å): 8.7404 8.7404 6.4287
angles (deg): 90.00 90.00 120.00
Space group P6_3/mcm (No. 193)
Unique sites:
Sc1 0.0000 0.4066 0.2500
Pb1 0.0000 0.2229 0.7500
Pb2 0.3333 0.6667 0.0000

# 6
Ba2UTl3O6 | GGA-PBE | optimized geometry

Output
- Fermi-level density of states (states/eV/atom) = 0.31
- formation energy without anion corrections (eV/atom) = -2.11

a b c (Å): 6.804 11.425 7.385
angles (deg): 90.00 114.58 90.00
Space group C2/m (No. 12)
Unique sites:
Ba1 0.000 0.166 0.000
U1 0.000 0.500 0.000
Tl1 0.000 0.000 0.500
Tl2 0.000 0.355 0.500
O1 0.175 0.500 0.811
O2 0.210 0.367 0.159